Entry 1:
DFT (PBE) results for an optimized crystal structure of ErNbReRu.

Structure (POSCAR):
```
ErNbReRu
1.0
-4.233 1.869 0.175
-3.593 -2.225 -1.893
-3.250 -1.878 2.712
Re Nb Ru Er
1 1 1 1
Direct
0.250 0.250 0.250
0.000 0.000 0.000
0.750 0.750 0.750
0.500 0.500 0.500
```

Results
The value obtained for the formation energy is -0.13 eV per atom. The total moment is 0.00 μB/f.u. The calculation puts the total energy at -0.339 Ha/atom. As for the density of states at the Fermi level: 0.765 states/eV per atom.

Entry 2:
DFT (PBE) results for an optimized crystal structure of SrLa2Pb3.

Structure (POSCAR):
```
SrLa2Pb3
1.0
-1.296 3.899 -1.027
-4.026 -1.192 0.557
0.584 3.000 10.647
Sr La Pb
1 2 3
Direct
0.500 0.500 0.500
0.500 0.500 0.848
0.500 0.500 0.152
0.000 0.000 0.000
0.000 0.000 0.681
0.000 0.000 0.319
```

Results
The value obtained for the formation energy is -0.53 eV per atom. The total moment is 0.00 μB/f.u. The calculation puts the total energy at -0.158 Ha/atom. As for the density of states at the Fermi level: 0.647 states/eV per atom.

Entry 3:
DFT (PBE) results for an optimized crystal structure of InTcAs2.

Structure (POSCAR):
```
InTcAs2
1.0
-5.837 0.144 -0.757
-0.644 -4.090 4.186
-3.671 2.318 5.842
As Tc In
4 2 2
Direct
0.569 0.125 0.250
0.181 0.625 0.250
0.375 0.431 0.750
0.875 0.819 0.750
0.500 0.500 0.000
0.250 0.750 0.500
0.000 0.000 0.000
0.750 0.250 0.500
```

Results
The value obtained for the formation energy is 0.17 eV per atom. The total moment is 0.00 μB/f.u. The calculation puts the total energy at -0.200 Ha/atom. As for the density of states at the Fermi level: 0.590 states/eV per atom.

- total moment of number 2 (SrLa2Pb3)?
  0.00 μB/f.u.

- Which value of total moment does entry 3 give?
  0.00 μB/f.u.